Entry 1:
VASP calculation (GGA-PBE) on crystalline CaZn6Cu6 at its relaxed geometry.

Values from the calculation:
Total energy, eV/atom: -2.779
Energy relative to the elements, eV/atom: -0.15
DOS(E_F), states/eV per cell: 9.75

Structure (CIF):
```
data_CaZn6Cu6
_space_group_name_H-M_alt 'I m m m'
_space_group_IT_number 71
_space_group_name_Hall '-I 2 2'
_cell_length_a 4.9715
_cell_length_b 8.6701
_cell_length_c 8.8336
_cell_angle_alpha 90.00
_cell_angle_beta 90.00
_cell_angle_gamma 90.00
loop_
_atom_site_label
_atom_site_fract_x
_atom_site_fract_y
_atom_site_fract_z
Ca1 0.0000 0.0000 0.0000
Zn1 0.0000 0.0000 0.3507
Zn2 0.0000 0.3473 0.0000
Zn3 0.0000 0.5000 0.2939
Cu1 0.0000 0.2708 0.5000
Cu2 0.2500 0.2500 0.2500
```

Entry 2:
VASP calculation (GGA-PBE) on crystalline Na4Sc3MnS8 at its relaxed geometry.

Values from the calculation:
Total energy, eV/atom: -5.648
Uncorrected formation energy, eV per formula unit: -23.9
DOS(E_F), states/eV per cell: 6.18

Structure (CIF):
```
data_Na4Sc3MnS8
_space_group_name_H-M_alt 'R -3 m'
_space_group_IT_number 166
_space_group_name_Hall '-R 3 2"'
_cell_length_a 7.4592
_cell_length_b 7.4592
_cell_length_c 19.8747
_cell_angle_alpha 90.00
_cell_angle_beta 90.00
_cell_angle_gamma 120.00
loop_
_atom_site_label
_atom_site_fract_x
_atom_site_fract_y
_atom_site_fract_z
Na1 0.0000 0.0000 0.0000
Na2 0.0000 0.5000 0.0000
Sc1 0.0000 0.5000 0.5000
Mn1 0.0000 0.0000 0.5000
S1 0.0000 0.0000 0.2391
S2 0.0091 0.5046 0.2372
```

Entry 3:
VASP calculation (GGA-PBE) on crystalline Ag4Pb2Br9 at its relaxed geometry.

Values from the calculation:
Total energy, eV/atom: -2.776
Uncorrected formation energy, eV per formula unit: -7.8
DOS(E_F), states/eV per cell: 29.88

Structure (CIF):
```
data_Ag4Pb2Br9
_space_group_name_H-M_alt 'P -1'
_space_group_IT_number 2
_cell_length_a 7.2737
_cell_length_b 7.2767
_cell_length_c 20.2074
_cell_angle_alpha 90.10
_cell_angle_beta 90.16
_cell_angle_gamma 119.96
loop_
_space_group_symop_operation_xyz
'x,y,z'
'-x,-y,-z'
loop_
_atom_site_label
_atom_site_fract_x
_atom_site_fract_y
_atom_site_fract_z
Ag1 0.1657 0.3317 0.3239
Ag2 0.1671 0.3332 0.5093
Ag3 0.1672 0.3357 0.8240
Ag4 0.1679 0.3336 0.0092
Pb1 0.4981 0.9979 0.3498
Pb2 0.4994 0.0023 0.8498
Br1 0.1275 0.6396 0.0818
Br2 0.1279 0.9855 0.5820
Br3 0.1421 0.6266 0.4187
Br4 0.1431 0.0186 0.9189
Br5 0.1724 0.9975 0.2492
Br6 0.1740 0.6755 0.7494
Br7 0.4818 0.3572 0.4177
Br8 0.4829 0.6270 0.9172
Br9 0.4994 0.6732 0.2503
```